No. 1
Entry from the Alexandria database: NbCoN2F after structural relaxation (PBE+U).

Cell: 4.086 4.086 4.022 Å, 90.00 90.00 90.00°
Space group P4/mmm (No. 123)
Inequivalent atoms, fractional coordinates:
Nb  0.000  0.000  0.000 (multiplicity 1)
Co  0.500  0.500  0.500 (multiplicity 1)
N  0.000  0.500  0.000 (multiplicity 2)
F  0.000  0.000  0.500 (multiplicity 1)

---

No. 2
Entry from the Alexandria database: CoNiNF2 after structural relaxation (PBE+U).

Cell: 3.943 3.943 3.644 Å, 90.00 90.00 90.00°
Space group P4/mmm (No. 123)
Inequivalent atoms, fractional coordinates:
Co  0.000  0.000  0.000 (multiplicity 1)
Ni  0.500  0.500  0.500 (multiplicity 1)
N  0.000  0.000  0.500 (multiplicity 1)
F  0.000  0.500  0.000 (multiplicity 2)

---

Energy relative to the lowest polymorph listed for this composition
In order: 0, 0
Unit: meV/atom